Record 1
The following is a PBE-GGA calculation of a relaxed structure of Zr4CuPt, from the Alexandria database.

Computed properties:
As for the polymorph energy (0 for the lowest one): 0 meV per atom. As for the space group: I422 (97). The total energy is -7.838 eV/atom.

Unit cell a=5.439 b=5.439 c=5.439 alpha=103.67 beta=103.67 gamma=121.84
Positions (direct):
Zr 0.092 0.908 0.500
Zr 0.908 0.408 0.816
Pt 0.500 0.500 0.000
Zr 0.592 0.092 0.184
Cu 0.000 0.000 0.000
Zr 0.408 0.592 0.500



Record 2
The following is a PBE-GGA calculation of a relaxed structure of AgP4N7, from the Alexandria database.

Computed properties:
Its formation energy from raw total energies is -2.42 eV per formula unit. As for the space group: Pmn2_1 (31). The total energy is -7.099 eV/atom.

Unit cell a=4.668 b=4.965 c=12.186 alpha=90.00 beta=90.00 gamma=90.00
Positions (direct):
P 0.589 0.670 0.882
P 0.062 0.823 0.248
P 0.562 0.177 0.252
P 0.089 0.330 0.618
N 0.509 0.360 0.854
N 0.009 0.640 0.354
N 0.921 0.749 0.134
N 0.974 0.246 0.500
N 0.418 0.872 0.216
Ag 0.681 0.845 0.500
P 0.089 0.330 0.382
P 0.589 0.670 0.118
N 0.918 0.128 0.284
N 0.509 0.360 0.146
P 0.562 0.177 0.748
N 0.009 0.640 0.646
N 0.474 0.754 0.000
N 0.421 0.251 0.366
N 0.918 0.128 0.716
N 0.921 0.749 0.866
N 0.421 0.251 0.634
P 0.062 0.823 0.752
Ag 0.181 0.155 0.000
N 0.418 0.872 0.784